DFT (PBE) results for an optimized crystal structure of NaThSc2Se4.

```
NaThSc2Se4
1.0
-2.371 -2.975 -1.088
5.613 -3.796 -1.852
2.084 -3.702 5.578
Na Th Sc Se
1 1 2 4
Cartesian
3.849 -3.749 1.863 Na
1.621 -3.385 -1.470 Th
2.084 -3.702 5.578 Sc
-0.143 -3.338 2.245 Sc
5.868 -5.654 2.669 Se
-0.542 -4.819 -0.032 Se
3.656 -5.322 -0.610 Se
1.670 -5.151 3.248 Se
```

## Properties
As for the magnetic moment: 0.0 μB per formula unit. The value obtained for the formation energy without anion corrections is -1.55 eV per atom. For the final energy, the calculation gives -47.748 eV for the cell shown.